Entry 1:
A geometry-optimized TaHIr2W structure. Source: Alexandria, functional PBE.

Cell and atoms, written as POSCAR:
```
TaHIr2W
1.0
-0.606 3.090 2.396
-2.167 -2.283 2.397
3.386 -0.983 2.125
H Ir Ta W
1 2 1 1
direct
0.000 0.000 0.000
0.500 0.000 0.000
0.000 0.500 0.000
0.000 0.000 0.500
0.500 0.500 0.500
```

Output
Crystal system   tetragonal
Symmetry   P4/mmm


Entry 2:
A geometry-optimized Na2InPbO4 structure. Source: Alexandria, functional PBE.

Cell and atoms, written as POSCAR:
```
Na2InPbO4
1.0
-1.405 0.403 3.072
4.696 -2.563 2.484
0.926 5.871 -0.347
O Na In Pb
4 2 1 1
direct
0.500 0.257 0.222
0.000 0.725 0.216
0.500 0.743 0.778
0.000 0.275 0.784
0.000 0.500 0.500
0.500 0.000 0.500
0.500 0.500 0.000
0.000 0.000 0.000
```

Output
Crystal system   monoclinic
Symmetry   P2/m
Formation energy (no corrections)   -31.59 kcal/mol of atoms


Entry 3:
A geometry-optimized Cr2CoNi structure. Source: Alexandria, functional PBE.

Cell and atoms, written as POSCAR:
```
Cr2CoNi
1.0
-1.338 1.082 3.917
0.349 -0.685 4.209
3.070 3.078 0.897
Cr Ni Co
2 1 1
direct
0.248 0.248 0.269
0.003 0.003 0.979
0.499 0.499 0.491
0.749 0.749 0.761
```

Output
Calculated formation energy   0.088 eV/atom
Crystal system   monoclinic
Symmetry   Cm


Entry 4:
A geometry-optimized SrTcAu structure. Source: Alexandria, functional PBE.

Cell and atoms, written as POSCAR:
```
SrTcAu
1.0
-3.242 3.103 -0.105
-1.059 -4.359 -0.178
-0.260 -0.120 4.481
Sr Tc Au
1 1 1
direct
0.667 0.333 0.333
0.333 0.667 0.833
0.000 0.000 0.833
```

Output
Calculated formation energy   0.324 eV/atom
Crystal system   hexagonal
Symmetry   P-6m2


Entry 5:
A geometry-optimized KFePt2 structure. Source: Alexandria, functional PBE.

Cell and atoms, written as POSCAR:
```
KFePt2
1.0
9.929 -0.030 -0.017
9.524 2.807 -0.017
9.524 1.360 2.456
Pt K Fe
2 1 1
direct
0.513 0.513 0.513
0.987 0.987 0.987
0.750 0.750 0.750
0.250 0.250 0.250
```

Output
Calculated formation energy   0.143 eV/atom
Crystal system   trigonal
Symmetry   R-3m


Entry 6:
A geometry-optimized Ce3SiGe structure. Source: Alexandria, functional PBE.

Cell and atoms, written as POSCAR:
```
Ce3SiGe
1.0
-2.106 0.974 -5.658
7.397 -5.891 -3.767
-8.791 -4.499 2.498
Ce Si Ge
12 4 4
direct
0.500 0.250 0.250
0.500 0.750 0.750
0.250 0.075 0.425
0.250 0.603 0.398
0.000 0.750 0.750
0.000 0.250 0.250
0.750 0.397 0.602
0.750 0.425 0.075
0.250 0.103 0.898
0.750 0.897 0.102
0.750 0.925 0.575
0.250 0.575 0.925
0.249 0.908 0.592
0.749 0.592 0.908
0.251 0.408 0.092
0.751 0.092 0.408
0.250 0.424 0.575
0.250 0.924 0.075
0.750 0.076 0.925
0.750 0.576 0.425
```

Output
Crystal system   monoclinic
Symmetry   P2_1/c
Formation energy (no corrections)   -10.19 kcal/mol of atoms


Number 1: total energy -47.1 eV for the cell shown. Number 2: total energy -39.9 eV for the cell shown. Number 3: total energy -31.8 eV for the cell shown. Number 4: total energy -14.4 eV for the cell shown. Number 5: total energy -21.1 eV for the cell shown. Number 6: total energy -120.2 eV for the cell shown.